First-principles (PBE) data for an optimized crystal structure of Hf2FeTc, as listed in OQMD.

Lattice parameters (Å, degrees): 4.5018 4.5018 4.5018 60.00 60.00 60.00
With the nearest neighbours (Å) after each atom.
Fractional positions:
1 Hf 0.7500 0.7500 0.7500  4 Hf 2.76, 4 Tc 2.76
2 Hf 0.0000 0.0000 0.0000  4 Hf 2.76, 4 Fe 2.76
3 Fe 0.2500 0.2500 0.2500  4 Hf 2.76, 4 Tc 2.76
4 Tc 0.5000 0.5000 0.5000  4 Hf 2.76, 4 Fe 2.76

calculated volume	64.5	Å³ per cell
E_form	1.49	kcal/mol of atoms
density	13.1	g cm⁻³
uncorrected energy	-9.580	eV per atom

First-principles (PBE) data for an optimized crystal structure of NdAl2CuPt, as listed in OQMD.

Lattice parameters (Å, degrees): 4.3118 4.3118 10.2066 90.00 90.00 90.00
With the nearest neighbours (Å) after each atom.
Fractional positions:
1 Al 0.5000 0.0000 0.1204  4 Cu 2.48, 1 Pt 2.50
2 Al 0.0000 0.0000 0.5000  4 Pt 2.56
3 Al 0.0000 0.5000 0.8796  4 Cu 2.48, 1 Pt 2.50
4 Al 0.5000 0.5000 0.5000  4 Pt 2.56
5 Pt 0.5000 0.0000 0.3651  5 Al 2.50-2.56
6 Pt 0.0000 0.5000 0.6349  5 Al 2.50-2.56
7 Cu 0.5000 0.5000 0.0000  4 Al 2.48
8 Cu 0.0000 0.0000 0.0000  4 Al 2.48
9 Nd 0.5000 0.0000 0.7539  4 Pt 3.28, 8 Al 3.31-3.37, 4 Cu 3.31
10 Nd 0.0000 0.5000 0.2461  4 Pt 3.28, 8 Al 3.31-3.37, 4 Cu 3.31

calculated volume	189.8	Å³ per cell
density	8.0	g cm⁻³
uncorrected energy	-5.184	eV per atom

First-principles (PBE) data for an optimized crystal structure of BaAgSe2O6, as listed in OQMD.

Lattice parameters (Å, degrees): 4.8256 4.8256 15.6960 89.80 89.80 68.40
With the nearest neighbours (Å) after each atom.
Fractional positions:
1 Ag 0.0000 0.0000 0.5000  4 O 2.11-2.15
2 Ag 0.0000 0.0000 0.0000  4 O 2.11-2.15
3 O 0.2529 0.6529 0.9136  1 Se 1.76
4 O 0.2544 0.7937 0.3923  1 Se 1.74
5 O 0.7937 0.2544 0.8923  1 Se 1.74
6 O 0.6234 0.7468 0.8011  1 Se 1.69
7 O 0.3766 0.2532 0.1989  1 Se 1.69
8 O 0.7468 0.6234 0.3011  1 Se 1.69
9 O 0.2532 0.3766 0.6989  1 Se 1.69
10 O 0.7456 0.2063 0.6077  1 Se 1.74
11 O 0.7471 0.3471 0.0864  1 Se 1.76
12 O 0.6529 0.2529 0.4136  1 Se 1.76
13 O 0.2063 0.7456 0.1077  1 Se 1.74
14 O 0.3471 0.7471 0.5864  1 Se 1.76
15 Ba 0.0386 0.9614 0.7500  8 O 2.68-2.96
16 Ba 0.9614 0.0386 0.2500  8 O 2.68-2.96
17 Se 0.3620 0.3794 0.5964  3 O 1.69-1.76
18 Se 0.6380 0.6206 0.4036  3 O 1.69-1.76
19 Se 0.3794 0.3620 0.0964  3 O 1.69-1.76
20 Se 0.6206 0.6380 0.9036  3 O 1.69-1.76

calculated volume	339.8	Å³ per cell
density	4.9	g cm⁻³
uncorrected energy	-5.321	eV per atom

First-principles (PBE) data for an optimized crystal structure of NdSiHg, as listed in OQMD.

Lattice parameters (Å, degrees): 8.5726 8.5726 3.9414 99.65 99.65 30.15
With the nearest neighbours (Å) after each atom.
Fractional positions:
1 Si 0.5433 0.5433 0.7808  2 Si 2.42-2.43
2 Si 0.4567 0.4567 0.2192  2 Si 2.42-2.43
3 Nd 0.0987 0.0987 0.3232  6 Si 3.10-3.21, 3 Hg 3.24-3.27
4 Nd 0.9013 0.9013 0.6768  6 Si 3.10-3.21, 3 Hg 3.24-3.27
5 Hg 0.2879 0.2879 0.2079  1 Si 2.79, 2 Hg 2.92
6 Hg 0.7121 0.7121 0.7921  1 Si 2.79, 2 Hg 2.92

calculated volume	143.3	Å³ per cell
density	8.6	g cm⁻³
uncorrected energy	-4.058	eV per atom

First-principles (PBE) data for an optimized crystal structure of ScPaAl, as listed in OQMD.

Lattice parameters (Å, degrees): 4.8789 4.8789 4.8789 60.00 60.00 60.00
With the nearest neighbours (Å) after each atom.
Fractional positions:
1 Al 0.2500 0.2500 0.2500  4 Pa 2.99
2 Pa 0.0000 0.0000 0.0000  4 Sc 2.99, 4 Al 2.99
3 Sc 0.7500 0.7500 0.7500  4 Pa 2.99

calculated volume	82.1	Å³ per cell
density	6.1	g cm⁻³
uncorrected energy	-5.587	eV per atom
energy above the lowest structure with this stoichiometry	607	meV per atom

First-principles (PBE) data for an optimized crystal structure of GdPuTe, as listed in OQMD.

Lattice parameters (Å, degrees): 5.1467 5.1467 5.1467 60.00 60.00 60.00
With the nearest neighbours (Å) after each atom.
Fractional positions:
1 Te 0.0000 0.0000 0.0000  4 Pu 3.15, 4 Gd 3.15
2 Gd 0.2500 0.2500 0.2500  4 Te 3.15
3 Pu 0.7500 0.7500 0.7500  4 Te 3.15

calculated volume	96.4	Å³ per cell
density	9.1	g cm⁻³
uncorrected energy	-7.753	eV per atom
energy above the lowest structure with this stoichiometry	0	meV per atom

First-principles (PBE) data for an optimized crystal structure of BaPt, as listed in OQMD.

Lattice parameters (Å, degrees): 5.2023 5.2023 6.4784 90.00 90.00 120.00
With the nearest neighbours (Å) after each atom.
Fractional positions:
1 Pt 0.0000 0.0000 0.4368  5 Ba 3.00-3.25
2 Pt 0.3333 0.6667 0.9368  5 Ba 3.00-3.25
3 Ba 0.3333 0.6667 0.4382  5 Pt 3.00-3.25
4 Ba 0.0000 0.0000 0.9382  5 Pt 3.00-3.25

calculated volume	151.8	Å³ per cell
density	7.3	g cm⁻³
uncorrected energy	-4.439	eV per atom

First-principles (PBE) data for an optimized crystal structure of SrMgNb, as listed in OQMD.

Lattice parameters (Å, degrees): 5.2252 5.2252 5.2252 60.00 60.00 60.00
With the nearest neighbours (Å) after each atom.
Fractional positions:
1 Sr 0.7500 0.7500 0.7500  4 Mg 3.20
2 Mg 0.0000 0.0000 0.0000  4 Sr 3.20, 4 Nb 3.20
3 Nb 0.2500 0.2500 0.2500  4 Mg 3.20

calculated volume	100.9	Å³ per cell
density	3.4	g cm⁻³
uncorrected energy	-3.302	eV per atom
energy above the lowest structure with this stoichiometry	451	meV per atom

Question: The highest calculated volume belongs to which entry?
Answer: BaAgSe2O6